[1]
## SmSb3Rh (GGA-PBE)

Data for a geometry-optimized SmSb3Rh structure.

Cell: 6.110 6.235 12.773 Å, 90.00 90.00 90.00°
Fractional coordinates of all 20 atoms:
Sb1 0.250 0.605 0.060
Sb2 0.250 0.492 0.773
Sb3 0.750 0.008 0.773
Sb4 0.750 0.508 0.227
Sb5 0.000 0.250 0.497
Sb6 0.500 0.250 0.497
Sb7 0.750 0.395 0.940
Sb8 0.250 0.105 0.940
Sb9 0.500 0.750 0.503
Sb10 0.750 0.895 0.060
Sb11 0.250 0.992 0.227
Sb12 0.000 0.750 0.503
Sm1 0.250 0.001 0.693
Sm2 0.750 0.499 0.693
Sm3 0.750 0.999 0.307
Sm4 0.250 0.501 0.307
Rh1 0.500 0.250 0.098
Rh2 0.500 0.750 0.902
Rh3 0.000 0.750 0.902
Rh4 0.000 0.250 0.098

Results
ΔE_f (raw), eV per formula unit: -3.46
Energy, eV per atom: -5.5786
N(E_F), states/eV/cell: 10.2

[2]
## Li2TmPN4 (GGA-PBE)

Data for a geometry-optimized Li2TmPN4 structure.

Cell: 5.163 4.809 4.809 Å, 81.24 57.54 57.54°
Fractional coordinates of all 8 atoms:
P1 0.000 0.500 0.500
Li1 0.500 0.250 0.750
Li2 0.500 0.750 0.250
N1 0.380 0.170 0.449
N2 0.000 0.449 0.170
N3 0.620 0.551 0.830
N4 0.000 0.830 0.551
Tm1 0.000 0.000 0.000

Results
ΔE_f (raw), eV per formula unit: -5.19
Energy, eV per atom: -6.5248
N(E_F), states/eV/cell: 3.4

[3]
## YTcN3 (GGA-PBE)

Data for a geometry-optimized YTcN3 structure.

Cell: 11.682 7.437 7.437 Å, 87.87 129.00 51.00°
Fractional coordinates of all 20 atoms:
Y1 0.856 0.528 0.685
Y2 0.356 0.815 0.972
Y3 0.144 0.472 0.315
Y4 0.644 0.185 0.028
N1 0.068 0.999 0.889
N2 0.432 0.389 0.499
N3 0.603 0.923 0.883
N4 0.025 0.286 0.158
N5 0.897 0.383 0.423
N6 0.475 0.658 0.786
N7 0.103 0.617 0.577
N8 0.397 0.077 0.117
N9 0.568 0.611 0.501
N10 0.975 0.714 0.842
N11 0.525 0.342 0.214
N12 0.932 0.001 0.111
Tc1 0.750 0.552 0.052
Tc2 0.250 0.448 0.948
Tc3 0.750 0.197 0.697
Tc4 0.250 0.803 0.303

Results
ΔE_f (raw), eV per formula unit: -2.40
Energy, eV per atom: -8.8410
N(E_F), states/eV/cell: 0.0

[4]
## Na2SiSnCO7 (GGA-PBE)

Data for a geometry-optimized Na2SiSnCO7 structure.

Cell: 6.699 5.355 9.210 Å, 88.41 90.00 90.00°
Fractional coordinates of all 24 atoms:
O1 0.750 0.595 0.554
O2 0.750 0.164 0.411
O3 0.750 0.951 0.134
O4 0.750 0.686 0.946
O5 0.250 0.405 0.446
O6 0.054 0.808 0.333
O7 0.250 0.836 0.589
O8 0.250 0.314 0.054
O9 0.250 0.458 0.820
O10 0.946 0.192 0.667
O11 0.446 0.808 0.333
O12 0.250 0.049 0.866
O13 0.750 0.542 0.180
O14 0.554 0.192 0.667
C1 0.250 0.272 0.921
C2 0.750 0.728 0.079
Sn1 0.250 0.207 0.639
Sn2 0.750 0.793 0.361
Na1 0.493 0.239 0.223
Na2 0.993 0.761 0.777
Na3 0.007 0.239 0.223
Na4 0.507 0.761 0.777
Si1 0.250 0.716 0.426
Si2 0.750 0.284 0.574

Results
ΔE_f (raw), eV per formula unit: -23.54
Energy, eV per atom: -6.6276
N(E_F), states/eV/cell: 0.0

[5]
## Ho2Tm5Sc5 (GGA-PBE)

Data for a geometry-optimized Ho2Tm5Sc5 structure.

Cell: 5.339 6.323 11.407 Å, 74.53 76.47 65.03°
Fractional coordinates of all 12 atoms:
Tm1 0.747 0.262 0.245
Tm2 0.210 0.125 0.455
Tm3 0.000 0.000 0.000
Tm4 0.253 0.738 0.755
Tm5 0.790 0.875 0.545
Sc1 0.500 0.500 0.500
Sc2 0.293 0.375 0.040
Sc3 0.542 0.117 0.799
Sc4 0.458 0.883 0.201
Sc5 0.707 0.625 0.960
Ho1 0.962 0.365 0.711
Ho2 0.038 0.635 0.289

Results
Distance to the lowest polymorph of the same formula, meV/atom: 29
Energy, eV per atom: -5.1844
N(E_F), states/eV/cell: 24.0
ΔE_f, eV/atom: 0.08

[6]
## TeP2PtO (GGA-PBE)

Data for a geometry-optimized TeP2PtO structure.

Cell: 4.873 4.873 3.839 Å, 90.00 90.00 90.00°
Fractional coordinates of all 5 atoms:
P1 0.500 0.000 0.000
P2 0.000 0.500 0.000
Te1 0.500 0.500 0.500
O1 0.000 0.000 0.500
Pt1 0.000 0.000 0.000

Results
ΔE_f (raw), eV per formula unit: 1.49
Distance to the lowest polymorph of the same formula, meV/atom: 0
Energy, eV per atom: -4.6937
N(E_F), states/eV/cell: 2.7

[7]
## LiAg3W (GGA-PBE)

Data for a geometry-optimized LiAg3W structure.

Cell: 4.369 4.369 4.369 Å, 90.00 90.00 90.00°
Fractional coordinates of all 5 atoms:
Ag1 0.500 0.000 0.000
Ag2 0.000 0.500 0.000
Ag3 0.000 0.000 0.500
Li1 0.000 0.000 0.000
W1 0.500 0.500 0.500

Results
Distance to the lowest polymorph of the same formula, meV/atom: 0
Energy, eV per atom: -3.6010
N(E_F), states/eV/cell: 5.1
ΔE_f, eV/atom: 1.08

[8]
## La3ZnN (GGA-PBE)

Data for a geometry-optimized La3ZnN structure.

Cell: 7.166 7.166 7.166 Å, 59.78 59.78 59.78°
Fractional coordinates of all 10 atoms:
N1 0.996 0.996 0.996
N2 0.496 0.496 0.496
La1 0.746 0.180 0.313
La2 0.180 0.313 0.746
La3 0.680 0.246 0.813
La4 0.246 0.813 0.680
La5 0.813 0.680 0.246
La6 0.313 0.746 0.180
Zn1 0.747 0.747 0.747
Zn2 0.247 0.247 0.247

Results
ΔE_f (raw), eV per formula unit: -3.46
Distance to the lowest polymorph of the same formula, meV/atom: 3
Energy, eV per atom: -5.5693
N(E_F), states/eV/cell: 2.5

[9]
## Pm5Sm5Y2 (GGA-PBE)

Data for a geometry-optimized Pm5Sm5Y2 structure.

Cell: 5.128 10.884 8.123 Å, 98.58 71.60 76.37°
Fractional coordinates of all 12 atoms:
Pm1 0.000 0.500 0.500
Pm2 0.333 0.000 0.333
Pm3 0.667 0.749 0.917
Pm4 0.667 0.000 0.667
Pm5 0.333 0.251 0.083
Sm1 0.666 0.251 0.417
Sm2 0.334 0.749 0.583
Sm3 0.001 0.749 0.250
Sm4 0.999 0.251 0.750
Sm5 0.000 0.000 0.000
Y1 0.333 0.500 0.834
Y2 0.667 0.500 0.166

Results
Energy, eV per atom: -5.0089
N(E_F), states/eV/cell: 18.3
ΔE_f, eV/atom: 0.01

[10]
## BaInAs (GGA-PBE)

Data for a geometry-optimized BaInAs structure.

Cell: 5.060 8.037 9.803 Å, 90.00 90.00 90.00°
Fractional coordinates of all 12 atoms:
As1 0.250 0.343 0.822
As2 0.750 0.657 0.178
As3 0.750 0.157 0.322
As4 0.250 0.843 0.678
In1 0.750 0.490 0.422
In2 0.250 0.510 0.578
In3 0.750 0.990 0.078
In4 0.250 0.010 0.922
Ba1 0.250 0.866 0.340
Ba2 0.750 0.134 0.660
Ba3 0.250 0.366 0.160
Ba4 0.750 0.634 0.840

Results
Energy, eV per atom: -3.8965
N(E_F), states/eV/cell: 2.3
ΔE_f, eV/atom: -0.79

[11]
## LaBeFe2 (GGA-PBE)

Data for a geometry-optimized LaBeFe2 structure.

Cell: 3.763 3.291 5.680 Å, 73.08 90.00 90.00°
Fractional coordinates of all 4 atoms:
Fe1 0.500 0.265 0.094
Fe2 0.000 0.792 0.040
La1 0.000 0.543 0.539
Be1 0.500 0.899 0.826

Results
Energy, eV per atom: -6.1525
N(E_F), states/eV/cell: 3.3
ΔE_f, eV/atom: 0.24

[12]
## KCdPtBr6 (GGA-PBE)

Data for a geometry-optimized KCdPtBr6 structure.

Cell: 7.273 6.930 7.300 Å, 88.62 87.30 58.33°
Fractional coordinates of all 9 atoms:
K1 0.000 0.999 0.000
Br1 0.023 0.624 0.696
Br2 0.620 0.026 0.298
Br3 0.019 0.364 0.271
Br4 0.617 0.365 0.729
Br5 0.353 0.624 0.304
Br6 0.354 0.026 0.702
Pt1 0.334 0.332 0.500
Cd1 0.680 0.641 0.500

Results
ΔE_f (raw), eV per formula unit: -6.66
Energy, eV per atom: -2.7502
N(E_F), states/eV/cell: 0.1

[13]
## Na2CaCd10 (GGA-PBE)

Data for a geometry-optimized Na2CaCd10 structure.

Cell: 5.975 6.788 20.089 Å, 90.00 90.00 90.00°
Fractional coordinates of all 26 atoms:
Cd1 0.000 0.450 0.067
Cd2 0.000 0.050 0.567
Cd3 0.000 0.465 0.228
Cd4 0.733 0.663 0.353
Cd5 0.733 0.163 0.147
Cd6 0.267 0.163 0.147
Cd7 0.000 0.950 0.433
Cd8 0.000 0.535 0.772
Cd9 0.000 0.035 0.728
Cd10 0.733 0.837 0.853
Cd11 0.000 0.301 0.360
Cd12 0.267 0.837 0.853
Cd13 0.267 0.337 0.647
Cd14 0.000 0.965 0.272
Cd15 0.000 0.199 0.860
Cd16 0.000 0.699 0.640
Cd17 0.000 0.801 0.140
Cd18 0.733 0.337 0.647
Cd19 0.267 0.663 0.353
Cd20 0.000 0.550 0.933
Na1 0.500 0.661 0.183
Na2 0.500 0.839 0.683
Na3 0.500 0.161 0.317
Na4 0.500 0.339 0.817
Ca1 0.000 0.000 0.000
Ca2 0.000 0.500 0.500

Results
Energy, eV per atom: -1.0484
N(E_F), states/eV/cell: 11.0
ΔE_f, eV/atom: 0.01

[14]
## MoP2Se6 (GGA-PBE)

Data for a geometry-optimized MoP2Se6 structure.

Cell: 6.050 9.175 9.175 Å, 74.99 80.18 80.18°
Fractional coordinates of all 18 atoms:
Se1 0.644 0.627 0.130
Se2 0.355 0.691 0.549
Se3 0.856 0.870 0.373
Se4 0.844 0.154 0.990
Se5 0.156 0.846 0.010
Se6 0.344 0.990 0.154
Se7 0.855 0.549 0.691
Se8 0.144 0.130 0.627
Se9 0.145 0.451 0.309
Se10 0.356 0.373 0.870
Se11 0.645 0.309 0.451
Se12 0.656 0.010 0.846
P1 0.858 0.385 0.216
P2 0.358 0.216 0.385
P3 0.642 0.784 0.615
P4 0.142 0.615 0.784
Mo1 0.250 0.132 0.868
Mo2 0.750 0.868 0.132

Results
ΔE_f (raw), eV per formula unit: -0.30
Energy, eV per atom: -4.7622
N(E_F), states/eV/cell: 2.6

[15]
## LaSmPd2 (GGA-PBE)

Data for a geometry-optimized LaSmPd2 structure.

Cell: 4.147 4.147 7.586 Å, 74.14 74.14 60.00°
Fractional coordinates of all 4 atoms:
Sm1 0.670 0.670 0.991
La1 0.497 0.497 0.508
Pd1 0.082 0.082 0.753
Pd2 0.251 0.251 0.248

Results
Distance to the lowest polymorph of the same formula, meV/atom: 167
Energy, eV per atom: -5.6776
N(E_F), states/eV/cell: 3.0
ΔE_f, eV/atom: -0.67

[16]
## DyAlPb (GGA-PBE)

Data for a geometry-optimized DyAlPb structure.

Cell: 4.261 4.261 5.370 Å, 113.37 113.37 90.00°
Fractional coordinates of all 3 atoms:
Al1 0.274 0.274 0.549
Pb1 0.958 0.958 0.916
Dy1 0.618 0.618 0.235

Results
Energy, eV per atom: -4.0553
N(E_F), states/eV/cell: 2.6
ΔE_f, eV/atom: -0.04

[17]
## NaPuTl2Br8 (GGA-PBE)

Data for a geometry-optimized NaPuTl2Br8 structure.

Cell: 7.356 6.897 9.127 Å, 89.97 90.01 91.74°
Fractional coordinates of all 12 atoms:
Pu1 0.000 0.000 0.000
Br1 0.319 0.263 0.500
Br2 0.870 0.233 0.781
Br3 0.130 0.767 0.219
Br4 0.870 0.233 0.219
Br5 0.130 0.767 0.781
Br6 0.320 0.211 0.000
Br7 0.681 0.737 0.500
Br8 0.680 0.789 0.000
Tl1 0.500 0.500 0.259
Tl2 0.500 0.500 0.741
Na1 0.000 0.000 0.500

Results
ΔE_f (raw), eV per formula unit: -12.64
Energy, eV per atom: -3.8675
N(E_F), states/eV/cell: 14.6

[18]
## Nd2Te (GGA-PBE)

Data for a geometry-optimized Nd2Te structure.

Cell: 4.011 4.011 6.607 Å, 107.79 107.79 89.77°
Fractional coordinates of all 3 atoms:
Te1 0.500 0.500 0.000
Nd1 0.848 0.848 0.696
Nd2 0.152 0.152 0.304

Results
ΔE_f (raw), eV per formula unit: -2.35
Energy, eV per atom: -5.0095
N(E_F), states/eV/cell: 2.9

[19]
## K2BiI6 (GGA-PBE)

Data for a geometry-optimized K2BiI6 structure.

Cell: 8.587 8.802 11.221 Å, 90.00 95.24 90.00°
Fractional coordinates of all 18 atoms:
I1 0.675 0.193 0.978
I2 0.290 0.826 0.425
I3 0.175 0.307 0.478
I4 0.790 0.674 0.925
I5 0.372 0.470 0.738
I6 0.872 0.030 0.238
I7 0.128 0.970 0.762
I8 0.210 0.326 0.075
I9 0.825 0.693 0.522
I10 0.628 0.530 0.262
I11 0.710 0.174 0.575
I12 0.325 0.807 0.022
Bi1 0.000 0.000 0.500
Bi2 0.500 0.500 0.000
K1 0.476 0.133 0.286
K2 0.524 0.867 0.714
K3 0.976 0.367 0.786
K4 0.024 0.633 0.214

Results
ΔE_f (raw), eV per formula unit: -7.16
Distance to the lowest polymorph of the same formula, meV/atom: 0
Energy, eV per atom: -2.5043
N(E_F), states/eV/cell: 10.3

[20]
## LaSmDyEr3 (GGA-PBE)

Data for a geometry-optimized LaSmDyEr3 structure.

Cell: 5.614 10.243 7.116 Å, 90.54 90.00 105.90°
Fractional coordinates of all 12 atoms:
Er1 0.164 0.329 0.729
Er2 0.779 0.558 0.757
Er3 0.221 0.442 0.243
Er4 0.524 0.048 0.734
Er5 0.836 0.671 0.271
Er6 0.476 0.952 0.266
Dy1 0.651 0.301 0.457
Dy2 0.349 0.699 0.543
Sm1 0.947 0.894 0.730
Sm2 0.053 0.106 0.270
La1 0.355 0.710 0.966
La2 0.645 0.290 0.034

Results
Energy, eV per atom: -4.4552
N(E_F), states/eV/cell: 19.6
ΔE_f, eV/atom: 0.20

[21]
## Tb2Ho7Th2 (GGA-PBE)

Data for a geometry-optimized Tb2Ho7Th2 structure.

Cell: 6.092 7.950 7.950 Å, 91.84 73.94 73.94°
Fractional coordinates of all 11 atoms:
Ho1 0.580 0.762 0.762
Ho2 0.828 0.935 0.411
Ho3 0.420 0.238 0.238
Ho4 0.172 0.589 0.065
Ho5 0.000 0.000 0.000
Ho6 0.172 0.065 0.589
Ho7 0.828 0.411 0.935
Th1 0.192 0.586 0.586
Th2 0.808 0.414 0.414
Tb1 0.500 0.215 0.785
Tb2 0.500 0.785 0.215

Results
Distance to the lowest polymorph of the same formula, meV/atom: 0
Energy, eV per atom: -4.9236
N(E_F), states/eV/cell: 17.0
ΔE_f, eV/atom: 0.18